The following is a DFT calculation (PBE with a Hubbard U) of crystalline MnInCuO4 at its relaxed geometry.

POSCAR file:
```
MnInCuO4
1.0
2.938 -4.684 0.000
2.938 4.684 0.000
0.000 0.000 6.437
Mn In Cu O
2 2 2 8
direct
0.156 0.844 0.750
0.844 0.156 0.250
0.500 0.500 0.000
0.500 0.500 0.500
0.157 0.843 0.250
0.843 0.157 0.750
0.242 0.244 0.750
0.244 0.242 0.250
0.265 0.735 0.003
0.265 0.735 0.497
0.735 0.265 0.503
0.735 0.265 0.997
0.756 0.758 0.750
0.758 0.756 0.250
```

Values from the calculation:
**SG**: Cmcm, No. 63
**Total magnetization**: 6.0 Bohr magnetons per cell
**Total energy**: -5.955 eV per atom